No. 1
PuBi2O8 | the Alexandria database | GGA-PBE | relaxed; total magnetic moment = 0.130 μB/atom; SG = C2/m, No. 12; E_form (uncorrected) = -1276 meV per atom; electronic total energy = -75.79 eV per cell
1.0
3.3649 0.0000 -0.7536
0.1048 8.4859 0.4678
0.0341 2.3636 8.0419
O Pu Bi
8 1 2
Direct
0.0700 0.8461 0.1400
0.9300 0.1539 0.8600
0.2735 0.3623 0.5469
0.5737 0.1112 0.1474
0.5894 0.5163 0.1788
0.7265 0.6377 0.4531
0.4263 0.8888 0.8526
0.4106 0.4837 0.8212
0.5000 0.0000 0.0000
0.1500 0.5774 0.3000
0.8500 0.4226 0.7000

***

No. 2
PuBi2O7 | the Alexandria database | GGA-PBE | relaxed; total magnetic moment = 0.004 μB/atom; SG = C2/c, No. 15; E_form (uncorrected) = -1436 meV per atom; electronic total energy = -142.33 eV per cell
1.0
1.6189 5.4816 6.9475
0.2212 -2.9936 8.1353
6.7249 3.2333 1.7068
O Bi Pu
14 4 2
Direct
0.7652 0.4224 0.5943
0.8824 0.8958 0.4630
0.7819 0.0776 0.9057
0.5601 0.2500 0.7500
0.5528 0.8190 0.4842
0.4472 0.1810 0.5158
0.2348 0.5776 0.4057
0.8560 0.6810 0.0157
0.2412 0.6042 0.0370
0.4399 0.7500 0.2500
0.1440 0.3190 0.9843
0.2181 0.9224 0.0943
0.7588 0.3958 0.9630
0.1176 0.1042 0.5370
0.4903 0.9940 0.2873
0.2284 0.4940 0.7873
0.5097 0.0060 0.7127
0.7716 0.5060 0.2127
0.7783 0.2500 0.7500
0.2217 0.7500 0.2500

***

No. 3
Pu3Bi2O2 | the Alexandria database | GGA-PBE | relaxed; total magnetic moment = 0.696 μB/atom; SG = C2/m, No. 12; E_form (uncorrected) = -1628 meV per atom; electronic total energy = -144.14 eV per cell
1.0
-3.2196 1.7012 -1.4320
-6.0318 -6.4452 0.5589
-5.0507 2.2335 8.6631
Pu O Bi
6 4 4
Direct
0.9397 0.9624 0.1583
0.8702 0.4911 0.7685
0.0603 0.0376 0.8417
0.1298 0.5089 0.2315
0.4203 0.7093 0.4502
0.5797 0.2907 0.5498
0.9717 0.7365 0.3201
0.5802 0.4841 0.3556
0.0283 0.2635 0.6799
0.4198 0.5159 0.6444
0.7346 0.8949 0.6359
0.3676 0.2628 0.0021
0.2654 0.1051 0.3641
0.6324 0.7372 0.9979

***

No. 4
PuBiO | the Alexandria database | GGA-PBE | relaxed; total magnetic moment = 1.572 μB/atom; relative energy among the computed polymorphs = 194 meV/atom; SG = P-6m2, No. 187; E_form (uncorrected) = -1634 meV per atom; electronic total energy = -28.07 eV per cell
1.0
-2.9789 -1.8707 -4.5685
2.6127 -2.6541 -0.6168
-2.9542 -0.7417 2.2301
Bi Pu O
1 1 1
Direct
0.6667 0.3333 0.6667
0.1668 0.6667 0.3333
0.1665 0.0000 0.0000

***

No. 5
Pu2BiO | the Alexandria database | GGA-PBE | relaxed; total magnetic moment = 0.018 μB/atom; relative energy among the computed polymorphs = 0 meV/atom; SG = Cmcm, No. 63; E_form (uncorrected) = -1433 meV per atom; electronic total energy = -86.47 eV per cell
1.0
-1.6225 2.9150 3.4020
-0.0252 -3.4304 2.9273
8.0870 3.5791 0.7900
Pu O Bi
4 2 2
Direct
0.2500 0.5718 0.1435
0.7500 0.4282 0.8565
0.7500 0.7467 0.4933
0.2500 0.2533 0.5067
0.7500 0.2973 0.5946
0.2500 0.7027 0.4054
0.7500 0.0935 0.1871
0.2500 0.9065 0.8129

***

No. 6
PuBi6O12 | the Alexandria database | GGA-PBE | relaxed; total magnetic moment = 0.105 μB/atom; SG = R-3, No. 148; E_form (uncorrected) = -1530 meV per atom; electronic total energy = -126.18 eV per cell
1.0
6.7834 -0.0906 -1.1169
-1.3013 6.6580 -1.1169
-0.0756 -0.0906 6.8743
Bi O Pu
6 12 1
Direct
0.4107 0.6946 0.8516
0.3054 0.1484 0.5893
0.8516 0.4107 0.6946
0.6946 0.8516 0.4107
0.1484 0.5893 0.3054
0.5893 0.3054 0.1484
0.4414 0.8151 0.5727
0.0275 0.7012 0.9148
0.0852 0.9725 0.2988
0.2988 0.0852 0.9725
0.9725 0.2988 0.0852
0.9148 0.0275 0.7012
0.5727 0.4414 0.8151
0.8151 0.5727 0.4414
0.1849 0.4273 0.5586
0.7012 0.9148 0.0275
0.4273 0.5586 0.1849
0.5586 0.1849 0.4273
0.0000 0.0000 0.0000

***

No. 7
Rb2PuBiO6 | the Alexandria database | GGA-PBE | relaxed; total magnetic moment = 0.097 μB/atom; SG = Fm-3m, No. 225; E_form (uncorrected) = -1956 meV per atom; electronic total energy = -69.45 eV per cell
1.0
6.2150 0.0000 0.0001
0.0000 6.2151 0.0001
3.1077 3.1078 4.3948
O Rb Bi Pu
6 2 1 1
Direct
0.7312 0.7312 0.5377
0.7311 0.2687 0.0000
0.2689 0.7313 0.0000
0.7313 0.7311 0.0000
0.2688 0.2688 0.4623
0.2687 0.2689 0.0000
0.2500 0.7500 0.5000
0.7500 0.2500 0.5000
0.0000 0.0000 0.0000
0.5000 0.5000 0.0000

***

No. 8
Rb2PuBiO4 | the Alexandria database | GGA-PBE | relaxed; total magnetic moment = 0.373 μB/atom; SG = P2/m, No. 10; E_form (uncorrected) = -1826 meV per atom; electronic total energy = -54.59 eV per cell
1.0
3.4851 0.0000 0.0000
0.0000 7.5068 -0.5871
0.0000 -3.1817 6.4729
Pu O Bi Rb
1 4 1 2
Direct
0.5000 0.5000 0.0000
0.0000 0.3521 0.7864
0.5000 0.7415 0.9160
0.0000 0.6479 0.2136
0.5000 0.2585 0.0840
0.0000 0.0000 0.0000
0.0000 0.5000 0.5000
0.5000 0.0000 0.5000

***

No. 9
RbPuBi2O8 | the Alexandria database | GGA-PBE | relaxed; total magnetic moment = 0.213 μB/atom; SG = P2/m, No. 10; E_form (uncorrected) = -1472 meV per atom; electronic total energy = -80.40 eV per cell
1.0
-0.4112 4.8494 -2.0127
-4.3233 -1.3361 -2.6575
-4.2434 2.0741 5.8609
O Pu Bi Rb
8 1 2 1
Direct
0.8159 0.1874 0.8148
0.7026 0.7055 0.9999
0.2974 0.2945 0.0001
0.8158 0.1874 0.1853
0.1841 0.8126 0.1852
0.3585 0.3491 0.5000
0.6415 0.6509 0.5000
0.1842 0.8126 0.8147
0.0000 0.0000 0.0000
0.5001 0.5000 0.2319
0.4999 0.5000 0.7681
0.0000 0.0000 0.5000

***

No. 10
Rb4Pu3BiO12 | the Alexandria database | GGA-PBE | relaxed; total magnetic moment = 0.350 μB/atom; SG = Im-3m, No. 229; E_form (uncorrected) = -2259 meV per atom; electronic total energy = -155.43 eV per cell
1.0
-3.0343 -1.9310 -6.6276
7.5180 -0.3177 -0.4896
-2.3751 -4.7687 5.3366
O Pu Rb Bi
12 3 4 1
Direct
0.2500 0.7500 0.5000
0.0000 0.2701 0.2701
0.7299 0.0000 0.7299
0.5000 0.2500 0.7500
0.7299 0.7299 0.0000
0.2701 0.0000 0.2701
0.7500 0.2500 0.5000
0.0000 0.7299 0.7299
0.7500 0.5000 0.2500
0.2701 0.2701 0.0000
0.2500 0.5000 0.7500
0.5000 0.7500 0.2500
0.5000 0.5000 0.0000
0.5000 0.0000 0.5000
0.0000 0.5000 0.5000
0.0000 0.5000 0.0000
0.5000 0.0000 0.0000
0.0000 0.0000 0.5000
0.5000 0.5000 0.5000
0.0000 0.0000 0.0000

***

No. 11
RbPuBiO6 | the Alexandria database | GGA-PBE | relaxed; total magnetic moment = 0.000 μB/atom; SG = P-31c, No. 163; E_form (uncorrected) = -1782 meV per atom; electronic total energy = -129.94 eV per cell
1.0
-5.8061 0.9290 0.9321
1.9559 -5.4455 -1.4015
1.4758 -2.4693 11.6540
O Pu Rb Bi
12 2 2 2
Direct
0.4053 0.3621 0.3432
0.3621 0.9569 0.6568
0.9569 0.5947 0.3432
0.6379 0.5947 0.1568
0.5947 0.9569 0.8432
0.3621 0.4053 0.8432
0.0431 0.4053 0.6568
0.6379 0.0431 0.3432
0.9569 0.3621 0.1568
0.5947 0.6379 0.6568
0.0431 0.6379 0.8432
0.4053 0.0431 0.1568
0.6667 0.3333 0.2500
0.3333 0.6667 0.7500
0.0000 0.0000 0.5000
0.0000 0.0000 0.0000
0.6667 0.3333 0.7500
0.3333 0.6667 0.2500

***

No. 12
Rb3Pu2BiO9 | the Alexandria database | GGA-PBE | relaxed; total magnetic moment = 0.267 μB/atom; SG = P-3m1, No. 164; E_form (uncorrected) = -2141 meV per atom; electronic total energy = -112.18 eV per cell
1.0
6.1650 0.0000 0.0000
-3.0825 5.3390 0.0000
0.0000 0.0000 7.5776
O Rb Bi Pu
9 3 1 2
Direct
0.0000 0.5000 0.0000
0.5000 0.0000 0.0000
0.5000 0.5000 0.0000
0.6442 0.8221 0.3158
0.3558 0.1779 0.6842
0.8221 0.1779 0.6842
0.8221 0.6442 0.6842
0.1779 0.8221 0.3158
0.1779 0.3558 0.3158
0.3333 0.6667 0.6606
0.0000 0.0000 0.0000
0.6667 0.3333 0.3394
0.0000 0.0000 0.5000
0.6667 0.3333 0.8399
0.3333 0.6667 0.1601

***

No. 13
PuBiRhO | the Alexandria database | GGA-PBE | relaxed; total magnetic moment = 1.344 μB/atom; SG = P4/nmm, No. 129; E_form (uncorrected) = -1413 meV per atom; electronic total energy = -72.35 eV per cell
1.0
-0.4592 3.4330 -2.3270
-3.7134 0.7024 1.7689
4.0637 4.9844 6.5515
Pu O Bi Rh
2 2 2 2
Direct
0.5000 0.0000 0.1151
0.0000 0.5000 0.8849
0.5000 0.5000 0.0000
0.0000 0.0000 0.0000
0.0000 0.5000 0.3165
0.5000 0.0000 0.6835
0.5000 0.5000 0.5000
0.0000 0.0000 0.5000

***

No. 14
PuBiRh2O8 | the Alexandria database | GGA-PBE | relaxed; total magnetic moment = 0.150 μB/atom; SG = P2/m, No. 10; E_form (uncorrected) = -1363 meV per atom; electronic total energy = -88.93 eV per cell
1.0
4.8756 0.0019 -0.0031
0.0447 4.8679 -0.0055
0.0041 0.0071 6.6626
O Bi Rh Pu
8 1 2 1
Direct
0.2054 0.7911 0.2274
0.3331 0.3273 0.5000
0.7946 0.2089 0.7726
0.7946 0.2089 0.2274
0.3196 0.3167 0.0000
0.6804 0.6833 0.0000
0.6669 0.6727 0.5000
0.2054 0.7911 0.7726
0.0000 0.0000 0.5000
0.5000 0.5000 0.7526
0.5000 0.5000 0.2474
0.0000 0.0000 0.0000

***

No. 15
PuBi2RhO6 | the Alexandria database | GGA-PBE | relaxed; total magnetic moment = 0.500 μB/atom; SG = P2_1/c, No. 14; E_form (uncorrected) = -1464 meV per atom; electronic total energy = -147.66 eV per cell
1.0
-4.7691 1.6894 2.5909
-3.2150 -1.2861 -5.0793
-1.3762 -7.5320 2.7783
O Pu Bi Rh
12 2 4 2
Direct
0.8324 0.8106 0.5565
0.1676 0.1894 0.4435
0.1353 0.4520 0.7379
0.1790 0.1802 0.0543
0.3647 0.9520 0.7621
0.3210 0.6802 0.4457
0.8647 0.5480 0.2621
0.8210 0.8198 0.9457
0.6676 0.3106 0.9435
0.3324 0.6894 0.0565
0.6353 0.0480 0.2379
0.6790 0.3198 0.5543
0.0000 0.5000 0.0000
0.5000 0.0000 0.5000
0.0163 0.9507 0.2472
0.4837 0.4507 0.2528
0.5163 0.5493 0.7472
0.9837 0.0493 0.7528
0.5000 0.0000 0.0000
0.0000 0.5000 0.5000

***

No. 16
PuBiS2O | the Alexandria database | GGA-PBE | relaxed; total magnetic moment = 0.984 μB/atom; SG = P4/nmm, No. 129; E_form (uncorrected) = -1482 meV per atom; electronic total energy = -77.68 eV per cell
1.0
3.9651 0.0000 0.0000
0.0000 3.9651 0.0000
0.0000 0.0000 13.9172
Bi S O Pu
2 4 2 2
Direct
0.5000 0.0000 0.1300
0.0000 0.5000 0.8700
0.5000 0.0000 0.3164
0.5000 0.0000 0.8943
0.0000 0.5000 0.1057
0.0000 0.5000 0.6836
0.5000 0.5000 0.5000
0.0000 0.0000 0.5000
0.5000 0.0000 0.5866
0.0000 0.5000 0.4134

***

No. 17
PuScBiO6 | the Alexandria database | GGA-PBE | relaxed; total magnetic moment = 0.222 μB/atom; SG = P-31c, No. 163; E_form (uncorrected) = -2420 meV per atom; electronic total energy = -152.15 eV per cell
1.0
-0.9171 3.9765 3.7938
-4.2801 -2.2477 -2.7704
-0.9062 -6.8360 6.9462
Pu O Bi Sc
2 12 2 2
Direct
0.3333 0.6667 0.7500
0.6667 0.3333 0.2500
0.6402 0.9926 0.8616
0.9926 0.3524 0.1384
0.0074 0.3598 0.6384
0.0074 0.6476 0.8616
0.3524 0.9926 0.6384
0.6476 0.0074 0.3616
0.3524 0.3598 0.8616
0.3598 0.0074 0.1384
0.6402 0.6476 0.6384
0.6476 0.6402 0.1384
0.9926 0.6402 0.3616
0.3598 0.3524 0.3616
0.0000 0.0000 0.0000
0.0000 0.0000 0.5000
0.3333 0.6667 0.2500
0.6667 0.3333 0.7500

***

No. 18
PuSc2BiO8 | the Alexandria database | GGA-PBE | relaxed; total magnetic moment = 0.083 μB/atom; SG = Cmmm, No. 65; E_form (uncorrected) = -2542 meV per atom; electronic total energy = -101.05 eV per cell
1.0
-2.2138 -0.1893 4.4316
-3.3823 -3.1357 -1.8145
3.9568 -5.2809 1.7510
O Sc Pu Bi
8 2 1 1
Direct
0.8021 0.1985 0.7791
0.6770 0.6776 0.5000
0.2853 0.2847 0.0000
0.7147 0.7153 0.0000
0.3230 0.3224 0.5000
0.1979 0.8015 0.7791
0.1979 0.8015 0.2209
0.8021 0.1985 0.2209
0.5000 0.5000 0.7348
0.5000 0.5000 0.2652
0.0000 0.0000 0.0000
0.0000 0.0000 0.5000

***

No. 19
PuScBi2O8 | the Alexandria database | GGA-PBE | relaxed; total magnetic moment = 0.083 μB/atom; SG = C2/m, No. 12; E_form (uncorrected) = -2067 meV per atom; electronic total energy = -92.89 eV per cell
1.0
5.2195 -0.0658 -0.0029
-0.0375 5.2193 -0.0056
0.0039 0.0082 6.8259
Bi O Pu Sc
2 8 1 1
Direct
0.5167 0.4829 0.2620
0.4833 0.5171 0.7380
0.1684 0.8324 0.2305
0.2628 0.2632 0.9996
0.7060 0.7059 0.4998
0.8316 0.1676 0.7695
0.7372 0.7368 0.0004
0.1819 0.8176 0.7467
0.2940 0.2941 0.5002
0.8181 0.1824 0.2533
0.0000 0.0000 0.0000
0.0000 0.0000 0.5000